# 1
# Tm2ScAl3Si2Ir | OQMD | PBE | optimized geometry
data_Tm2ScAl3Si2Ir
_chemical_formula_sum 'Tm2 Sc1 Al3 Si2 Ir1'
_cell_length_a 4.158
_cell_length_b 6.745
_cell_length_c 6.745
_cell_angle_alpha 119.53
_cell_angle_beta 90.00
_cell_angle_gamma 90.00
_space_group_name_H-M_alt 'P 1'
_space_group_IT_number 1
loop_
_space_group_symop_operation_xyz
'x,y,z'
loop_
_atom_site_label
_atom_site_fract_x
_atom_site_fract_y
_atom_site_fract_z
Tm1 0.000 0.209 0.791
Tm2 0.000 0.791 0.209
Sc1 0.000 0.374 0.374
Al1 0.500 0.027 0.027
Al2 0.500 0.551 0.787
Al3 0.500 0.787 0.551
Si1 0.500 0.128 0.454
Si2 0.500 0.454 0.128
Ir1 0.000 0.781 0.781
# VASP energy in eV per cell: -54.02

# 2
# AlCdMo | OQMD | PBE | optimized geometry
data_AlCdMo
_chemical_formula_sum 'Al1 Cd1 Mo1'
_cell_length_a 4.352
_cell_length_b 4.352
_cell_length_c 4.352
_cell_angle_alpha 60.00
_cell_angle_beta 60.00
_cell_angle_gamma 60.00
_space_group_name_H-M_alt 'P 1'
_space_group_IT_number 1
loop_
_space_group_symop_operation_xyz
'x,y,z'
loop_
_atom_site_label
_atom_site_fract_x
_atom_site_fract_y
_atom_site_fract_z
Al1 0.000 0.000 0.000
Cd1 0.750 0.750 0.750
Mo1 0.250 0.250 0.250
# Energy relative to the lowest polymorph listed for this composition in kcal/mol of atoms: 0.00
# VASP energy in eV per cell: -13.53

# 3
# Ba2NaAgH6 | OQMD | PBE | optimized geometry
data_Ba2NaAgH6
_chemical_formula_sum 'Ba2 Na1 Ag1 H6'
_cell_length_a 5.863
_cell_length_b 5.863
_cell_length_c 5.863
_cell_angle_alpha 60.00
_cell_angle_beta 60.00
_cell_angle_gamma 60.00
_space_group_name_H-M_alt 'P 1'
_space_group_IT_number 1
loop_
_space_group_symop_operation_xyz
'x,y,z'
loop_
_atom_site_label
_atom_site_fract_x
_atom_site_fract_y
_atom_site_fract_z
Ba1 0.250 0.250 0.250
Ba2 0.750 0.750 0.750
Na1 0.000 0.000 0.000
Ag1 0.500 0.500 0.500
H1 0.260 0.260 0.740
H2 0.260 0.740 0.260
H3 0.260 0.740 0.740
H4 0.740 0.260 0.260
H5 0.740 0.260 0.740
H6 0.740 0.740 0.260
# VASP energy in eV per cell: -31.08

# 4
# KCdGa2Ir | OQMD | PBE | optimized geometry
data_KCdGa2Ir
_chemical_formula_sum 'K1 Cd1 Ga2 Ir1'
_cell_length_a 4.851
_cell_length_b 4.851
_cell_length_c 5.334
_cell_angle_alpha 90.00
_cell_angle_beta 90.00
_cell_angle_gamma 90.00
_space_group_name_H-M_alt 'P 1'
_space_group_IT_number 1
loop_
_space_group_symop_operation_xyz
'x,y,z'
loop_
_atom_site_label
_atom_site_fract_x
_atom_site_fract_y
_atom_site_fract_z
K1 0.000 0.000 0.000
Cd1 0.500 0.500 0.000
Ga1 0.000 0.500 0.500
Ga2 0.500 0.000 0.500
Ir1 0.500 0.500 0.500
# VASP energy in eV per cell: -18.44

> What is the VASP energy in the fourth record?

-18.44 eV per cell

> Look up the VASP energy of the first one.

-54.02 eV per cell